Record 1
## YMo3Pb (PBE)

Data for crystalline YMo3Pb at its relaxed geometry.

It has space group Pm-3m (No. 221), with a = 5.047 Å, b = 5.047 Å, c = 5.047 Å, α = 90.00°, β = 90.00° and γ = 90.00°. The inequivalent atoms are Y at (0.000, 0.000, 0.000), Mo at (0.000, 0.500, 0.500) and Pb at (0.500, 0.500, 0.500).

The crystal system is cubic.

Record 2
## YMo2Pb (PBE)

Data for crystalline YMo2Pb at its relaxed geometry.

It has space group I-42d (No. 122), with a = 7.920 Å, b = 7.920 Å, c = 5.789 Å, α = 90.00°, β = 90.00° and γ = 90.00°. The inequivalent atoms are Y at (0.000, 0.000, 0.000), Mo at (0.225, 0.250, 0.625) and Pb at (0.000, 0.000, 0.500).

The crystal system is tetragonal.

Record 3
## YMo2Pb (PBE)

Data for crystalline YMo2Pb at its relaxed geometry.

It has space group R-3m (No. 166, hexagonal axes), with a = 3.2586 Å, b = 3.2586 Å, c = 27.7815 Å, α = 90.00°, β = 90.00° and γ = 120.00°. The inequivalent atoms are Y at (0.0000, 0.0000, 0.0000), Mo at (0.0000, 0.0000, 0.2456) and Pb at (0.0000, 0.0000, 0.5000).

The crystal system is trigonal.

Record 4
## Y2MoPb (PBE)

Data for crystalline Y2MoPb at its relaxed geometry.

It has space group Amm2 (No. 38), with a = 4.702 Å, b = 3.859 Å, c = 11.440 Å, α = 90.00°, β = 90.00° and γ = 90.00°. The inequivalent atoms are Y at (0.000, 0.000, 0.000), Y at (0.500, 0.000, 0.301), Mo at (0.500, 0.000, 0.574) and Pb at (0.000, 0.000, 0.720).

The crystal system is orthorhombic.

Record 5
## Y2MoPb (PBE)

Data for crystalline Y2MoPb at its relaxed geometry.

It has space group P4/mmm (No. 123), with a = 3.683 Å, b = 3.683 Å, c = 7.376 Å, α = 90.00°, β = 90.00° and γ = 90.00°. The inequivalent atoms are Y at (0.000, 0.000, 0.223), Mo at (0.500, 0.500, 0.000) and Pb at (0.500, 0.500, 0.500).

The crystal system is tetragonal.

Record 6
## YMo2Pb (PBE)

Data for crystalline YMo2Pb at its relaxed geometry.

It has space group C2/m (No. 12), with a = 5.980 Å, b = 9.824 Å, c = 3.079 Å, α = 90.00°, β = 114.97° and γ = 90.00°. The inequivalent atoms are Y at (0.000, 0.000, 0.000), Mo at (0.250, 0.250, 0.500) and Pb at (0.000, 0.500, 0.000).

The crystal system is monoclinic.

Record 7
## YMo2Pb (PBE)

Data for crystalline YMo2Pb at its relaxed geometry.

It has space group Cmmm (No. 65), with a = 3.593 Å, b = 4.966 Å, c = 9.361 Å, α = 90.00°, β = 90.00° and γ = 90.00°. The inequivalent atoms are Y at (0.000, 0.000, 0.000), Mo at (0.000, 0.500, 0.259) and Pb at (0.000, 0.000, 0.500).

The crystal system is orthorhombic.

Record 8
## YMo2Pb (PBE)

Data for crystalline YMo2Pb at its relaxed geometry.

It has space group P4mm (No. 99), with a = 3.287 Å, b = 3.287 Å, c = 8.049 Å, α = 90.00°, β = 90.00° and γ = 90.00°. The inequivalent atoms are Y at (0.000, 0.000, 0.000), Mo at (0.000, 0.000, 0.416), Mo at (0.500, 0.500, 0.259) and Pb at (0.500, 0.500, 0.674).

The crystal system is tetragonal.

Record 9
## YMo2Pb (PBE)

Data for crystalline YMo2Pb at its relaxed geometry.

It has space group P4/mmm (No. 123), with a = 2.982 Å, b = 2.982 Å, c = 9.527 Å, α = 90.00°, β = 90.00° and γ = 90.00°. The inequivalent atoms are Y at (0.000, 0.000, 0.000), Mo at (0.500, 0.500, 0.256) and Pb at (0.000, 0.000, 0.500).

The crystal system is tetragonal.

Record 10
## Y2MoPb (PBE)

Data for crystalline Y2MoPb at its relaxed geometry.

It has space group F-43m (No. 216), with a = 7.248 Å, b = 7.248 Å, c = 7.248 Å, α = 90.00°, β = 90.00° and γ = 90.00°. The inequivalent atoms are Y at (0.000, 0.000, 0.000), Y at (0.250, 0.250, 0.250), Mo at (0.000, 0.000, 0.500) and Pb at (0.250, 0.250, 0.750).

The crystal system is cubic.

Record 11
## YMo2Pb (PBE)

Data for crystalline YMo2Pb at its relaxed geometry.

It has space group P4/mmm (No. 123), with a = 3.683 Å, b = 3.683 Å, c = 6.393 Å, α = 90.00°, β = 90.00° and γ = 90.00°. The inequivalent atoms are Y at (0.000, 0.000, 0.000), Mo at (0.500, 0.500, 0.305) and Pb at (0.000, 0.000, 0.500).

The crystal system is tetragonal.

Record 12
## YMo2Pb (PBE)

Data for crystalline YMo2Pb at its relaxed geometry.

It has space group P2/m (No. 10), with a = 3.155 Å, b = 5.050 Å, c = 5.568 Å, α = 90.00°, β = 94.06° and γ = 90.00°. The inequivalent atoms are Y at (0.000, 0.000, 0.000), Mo at (0.349, 0.500, 0.802) and Pb at (0.500, 0.000, 0.500).

The crystal system is monoclinic.

Record 13
## YMo2Pb (PBE)

Data for crystalline YMo2Pb at its relaxed geometry.

It has space group I4/mmm (No. 139), with a = 4.165 Å, b = 4.165 Å, c = 9.579 Å, α = 90.00°, β = 90.00° and γ = 90.00°. The inequivalent atoms are Y at (0.000, 0.000, 0.000), Mo at (0.000, 0.500, 0.250) and Pb at (0.000, 0.000, 0.500).

The crystal system is tetragonal.

Record 14
## YMo2Pb (PBE)

Data for crystalline YMo2Pb at its relaxed geometry.

It has space group F-43m (No. 216), with a = 6.867 Å, b = 6.867 Å, c = 6.867 Å, α = 90.00°, β = 90.00° and γ = 90.00°. The inequivalent atoms are Y at (0.000, 0.000, 0.000), Mo at (0.000, 0.000, 0.500), Mo at (0.250, 0.250, 0.750) and Pb at (0.250, 0.250, 0.250).

The crystal system is cubic.

Record 15
## Y4MoPb (PBE)

Data for crystalline Y4MoPb at its relaxed geometry.

It has space group F-43m (No. 216), with a = 8.682 Å, b = 8.682 Å, c = 8.682 Å, α = 90.00°, β = 90.00° and γ = 90.00°. The inequivalent atoms are Y at (0.123, 0.123, 0.123), Mo at (0.250, 0.250, 0.750) and Pb at (0.000, 0.000, 0.500).

The crystal system is cubic.

Record 16
## Y2MoPb (PBE)

Data for crystalline Y2MoPb at its relaxed geometry.

It has space group Cmm2 (No. 35), with a = 3.852 Å, b = 5.364 Å, c = 9.973 Å, α = 90.00°, β = 90.00° and γ = 90.00°. The inequivalent atoms are Y at (0.000, 0.000, 0.000), Y at (0.000, 0.500, 0.306), Mo at (0.000, 0.000, 0.526) and Pb at (0.000, 0.500, 0.735).

The crystal system is orthorhombic.

Record 17
## YMoPb4 (PBE)

Data for crystalline YMoPb4 at its relaxed geometry.

It has space group F-43m (No. 216), with a = 8.972 Å, b = 8.972 Å, c = 8.972 Å, α = 90.00°, β = 90.00° and γ = 90.00°. The inequivalent atoms are Y at (0.000, 0.000, 0.000), Mo at (0.250, 0.250, 0.750) and Pb at (0.125, 0.125, 0.375).

The crystal system is cubic.

Record 18
## YMo2Pb (PBE)

Data for crystalline YMo2Pb at its relaxed geometry.

It has space group Imm2 (No. 44), with a = 3.572 Å, b = 4.897 Å, c = 9.658 Å, α = 90.00°, β = 90.00° and γ = 90.00°. The inequivalent atoms are Y at (0.000, 0.000, 0.000), Mo at (0.000, 0.000, 0.459), Mo at (0.000, 0.500, 0.770) and Pb at (0.000, 0.500, 0.221).

The crystal system is orthorhombic.

Record 19
## YMo2Pb (PBE)

Data for crystalline YMo2Pb at its relaxed geometry.

It has space group R3m (No. 160, hexagonal axes), with a = 3.3166 Å, b = 3.3166 Å, c = 28.0106 Å, α = 90.00°, β = 90.00° and γ = 120.00°. The inequivalent atoms are Y at (0.0000, 0.0000, 0.0000), Mo at (0.0000, 0.0000, 0.2482), Mo at (0.0000, 0.0000, 0.5218) and Pb at (0.0000, 0.0000, 0.7685).

The crystal system is trigonal.

Record 20
## YMo2Pb (PBE)

Data for crystalline YMo2Pb at its relaxed geometry.

It has space group Pmmm (No. 47), with a = 4.028 Å, b = 4.377 Å, c = 4.622 Å, α = 90.00°, β = 90.00° and γ = 90.00°. The inequivalent atoms are Y at (0.000, 0.000, 0.000), Mo at (0.000, 0.500, 0.500), Mo at (0.500, 0.000, 0.500) and Pb at (0.500, 0.500, 0.000).

The crystal system is orthorhombic.

Record 21
## Y2MoPb (PBE)

Data for crystalline Y2MoPb at its relaxed geometry.

It has space group R3m (No. 160, hexagonal axes), with a = 3.4970 Å, b = 3.4970 Å, c = 29.8204 Å, α = 90.00°, β = 90.00° and γ = 120.00°. The inequivalent atoms are Y at (0.0000, 0.0000, 0.0000), Y at (0.0000, 0.0000, 0.2307), Mo at (0.0000, 0.0000, 0.4899) and Pb at (0.0000, 0.0000, 0.7547).

The crystal system is trigonal.

Record 22
## Y2MoPb (PBE)

Data for crystalline Y2MoPb at its relaxed geometry.

It has space group I-42d (No. 122), with a = 4.543 Å, b = 4.543 Å, c = 20.915 Å, α = 90.00°, β = 90.00° and γ = 90.00°. The inequivalent atoms are Y at (0.240, 0.250, 0.125), Mo at (0.000, 0.000, 0.000) and Pb at (0.000, 0.000, 0.500).

The crystal system is tetragonal.

Record 23
## Y2MoPb (PBE)

Data for crystalline Y2MoPb at its relaxed geometry.

It has space group I-4m2 (No. 119), with a = 4.490 Å, b = 4.490 Å, c = 9.662 Å, α = 90.00°, β = 90.00° and γ = 90.00°. The inequivalent atoms are Y at (0.000, 0.000, 0.000), Y at (0.000, 0.500, 0.250), Mo at (0.000, 0.500, 0.750) and Pb at (0.000, 0.000, 0.500).

The crystal system is tetragonal.

Record 24
## ZnMo2Pb (PBE)

Data for crystalline ZnMo2Pb at its relaxed geometry.

It has space group P2/m (No. 10), with a = 2.930 Å, b = 4.565 Å, c = 5.516 Å, α = 90.00°, β = 97.55° and γ = 90.00°. The inequivalent atoms are Zn at (0.000, 0.000, 0.000), Mo at (0.308, 0.500, 0.788) and Pb at (0.500, 0.000, 0.500).

The crystal system is monoclinic.

Record 25
## ZnMoPb3 (PBE)

Data for crystalline ZnMoPb3 at its relaxed geometry.

It has space group Pm-3m (No. 221), with a = 5.329 Å, b = 5.329 Å, c = 5.329 Å, α = 90.00°, β = 90.00° and γ = 90.00°. The inequivalent atoms are Zn at (0.000, 0.000, 0.000), Mo at (0.500, 0.500, 0.500) and Pb at (0.000, 0.000, 0.500).

The crystal system is cubic.

Record 26
## ZnMoPb2 (PBE)

Data for crystalline ZnMoPb2 at its relaxed geometry.

It has space group Cmmm (No. 65), with a = 7.249 Å, b = 7.270 Å, c = 3.310 Å, α = 90.00°, β = 90.00° and γ = 90.00°. The inequivalent atoms are Zn at (0.000, 0.000, 0.000), Mo at (0.000, 0.500, 0.000) and Pb at (0.250, 0.250, 0.500).

The crystal system is orthorhombic.

Record 27
## ZnMoPb2 (PBE)

Data for crystalline ZnMoPb2 at its relaxed geometry.

It has space group Cmm2 (No. 35), with a = 4.095 Å, b = 4.803 Å, c = 9.287 Å, α = 90.00°, β = 90.00° and γ = 90.00°. The inequivalent atoms are Zn at (0.000, 0.000, 0.000), Mo at (0.000, 0.500, 0.173), Pb at (0.000, 0.000, 0.408) and Pb at (0.000, 0.500, 0.763).

The crystal system is orthorhombic.

Record 28
## ZnMo2Pb (PBE)

Data for crystalline ZnMo2Pb at its relaxed geometry.

It has space group Imm2 (No. 44), with a = 3.426 Å, b = 4.666 Å, c = 8.986 Å, α = 90.00°, β = 90.00° and γ = 90.00°. The inequivalent atoms are Zn at (0.000, 0.000, 0.000), Mo at (0.000, 0.000, 0.466), Mo at (0.000, 0.500, 0.753) and Pb at (0.000, 0.500, 0.236).

The crystal system is orthorhombic.

Record 29
## ZnMo3Pb (PBE)

Data for crystalline ZnMo3Pb at its relaxed geometry.

It has space group Pm-3m (No. 221), with a = 4.631 Å, b = 4.631 Å, c = 4.631 Å, α = 90.00°, β = 90.00° and γ = 90.00°. The inequivalent atoms are Zn at (0.000, 0.000, 0.000), Mo at (0.000, 0.000, 0.500) and Pb at (0.500, 0.500, 0.500).

The crystal system is cubic.

Record 30
## ZnMoPb2 (PBE)

Data for crystalline ZnMoPb2 at its relaxed geometry.

It has space group Pmm2 (No. 25), with a = 3.057 Å, b = 3.440 Å, c = 8.902 Å, α = 90.00°, β = 90.00° and γ = 90.00°. The inequivalent atoms are Zn at (0.000, 0.000, 0.000), Mo at (0.500, 0.500, 0.155), Pb at (0.000, 0.000, 0.392) and Pb at (0.500, 0.500, 0.775).

The crystal system is orthorhombic.

| no. | density (g/cm3) | DFT formation energy (eV per atom) | Fermi-level density of states (states/eV/f.u.) |
| --- | --- | --- | --- |
| 1 | 7.54 | 1.964 | 8.3 |
| 2 | 8.93 | 1.071 | 5.1 |
| 3 | 9.52 | 0.821 | 5.4 |
| 4 | 7.69 | 0.093 | 4.4 |
| 5 | 7.98 | 0.020 | 5.1 |
| 6 | 9.88 | 0.579 | 3.8 |
| 7 | 9.70 | 0.721 | 4.3 |
| 8 | 9.32 | 0.119 | 3.6 |
| 9 | 9.57 | 0.793 | 3.0 |
| 10 | 8.39 | 0.227 | 1.5 |
| 11 | 9.34 | 0.470 | 3.7 |
| 12 | 9.16 | 0.454 | 4.1 |
| 13 | 9.75 | 0.557 | 4.2 |
| 14 | 10.01 | 0.403 | 2.4 |
| 15 | 6.69 | 0.688 | 6.8 |
| 16 | 7.75 | 0.363 | 6.5 |
| 17 | 9.32 | 0.646 | 6.6 |
| 18 | 9.59 | 0.279 | 3.2 |
| 19 | 9.11 | 0.337 | 5.0 |
| 20 | 9.94 | 0.466 | 4.1 |
| 21 | 7.59 | 0.386 | 5.7 |
| 22 | 7.40 | 0.716 | 3.8 |
| 23 | 8.20 | 0.168 | 4.4 |
| 24 | 10.54 | 0.533 | 2.9 |
| 25 | 8.59 | 1.064 | 2.6 |
| 26 | 10.96 | 0.639 | 2.9 |
| 27 | 10.47 | 0.446 | 2.4 |
| 28 | 10.74 | 0.510 | 3.2 |
| 29 | 9.37 | 1.527 | 5.9 |
| 30 | 10.21 | 0.433 | 2.3 |